1.
The following is a PBE-GGA calculation of an optimized crystal structure of V2CdReP, from the Alexandria database.

```
5
Lattice="-0.1669 -4.2168 -0.9436 4.4590 -0.4348 1.1543 -1.1408 -0.8678 4.0798" Properties=species:S:1:pos:R:3 pbc="T T T"
Re 1.5756 -2.7597 2.1452
V -0.5704 -0.4339 2.0399
V -0.0835 -2.1084 -0.4718
P 0.0000 0.0000 0.0000
Cd 2.2295 -0.2174 0.5771
```

Computed properties:
DFT formation energy   1.00 eV per atom
Polymorph energy (0 for the lowest one)   2.96 eV per formula unit

2.
The following is a PBE-GGA calculation of an optimized crystal structure of Ce15Ga4Hg, from the Alexandria database.

```
20
Lattice="4.6669 0.0000 0.0000 0.0000 4.6669 0.0000 0.0000 0.0000 23.3177" Properties=species:S:1:pos:R:3 pbc="T T T"
Ce 2.3334 2.3334 0.0000
Ce 2.3334 2.3334 4.7434
Ce 2.3334 2.3334 9.3698
Ce 2.3334 2.3334 13.9478
Ce 2.3334 2.3334 18.5743
Ce 2.3334 0.0000 2.4730
Ce 2.3334 0.0000 7.0500
Ce 2.3334 0.0000 11.6588
Ce 2.3334 0.0000 16.2677
Ce 2.3334 0.0000 20.8447
Ce 0.0000 2.3334 2.4730
Ce 0.0000 2.3334 7.0500
Ce 0.0000 2.3334 11.6588
Ce 0.0000 2.3334 16.2677
Ce 0.0000 2.3334 20.8447
Ga 0.0000 0.0000 4.7365
Ga 0.0000 0.0000 9.3524
Ga 0.0000 0.0000 13.9653
Ga 0.0000 0.0000 18.5812
Hg 0.0000 0.0000 0.0000
```

Computed properties:
DFT formation energy   -0.22 eV per atom

3.
The following is a PBE-GGA calculation of an optimized crystal structure of RbPr2Tc2N6, from the Alexandria database.

```
11
Lattice="-2.3415 -3.4962 5.4328 -4.3379 -4.5048 -1.2226 6.1594 -2.4321 2.0365" Properties=species:S:1:pos:R:3 pbc="T T T"
Rb 1.9089 -2.9642 3.7347
Pr 1.3422 -6.4174 5.6455
Pr -1.8622 -4.0157 0.6012
Tc 1.3080 -6.0284 1.5863
Tc -1.8280 -4.4047 4.6604
N 1.6017 -6.7295 3.2006
N -2.9324 -5.7736 4.9483
N -0.4274 -5.8639 1.0019
N 2.4124 -4.6595 1.2985
N -0.0926 -4.5692 5.2449
N -2.1217 -3.7036 3.0461
```

Computed properties:
E_form (uncorrected)   -0.44 eV/atom

4.
The following is a PBE-GGA calculation of an optimized crystal structure of PmAgTe, from the Alexandria database.

```
3
Lattice="-0.3886 -1.3963 -4.0491 -0.9662 -4.2917 1.5727 -3.4584 3.0567 -0.7222" Properties=species:S:1:pos:R:3 pbc="T T T"
Te -2.9127 -0.4168 -2.9267
Ag -0.3797 -1.3642 -3.9560
Pm -1.9095 -2.2466 -0.3649
```

Computed properties:
E_form (uncorrected)   -0.67 eV/atom
Polymorph energy (0 for the lowest one)   0.00 eV per formula unit

5.
The following is a PBE-GGA calculation of an optimized crystal structure of Tm2GaIr3, from the Alexandria database.

```
12
Lattice="5.5240 0.0000 0.0000 -2.7620 4.7840 0.0000 0.0000 0.0000 8.0698" Properties=species:S:1:pos:R:3 pbc="T T T"
Tm 2.7620 1.5947 3.5343
Tm 0.0000 3.1893 4.5356
Tm 0.0000 3.1893 7.5692
Tm 2.7620 1.5947 0.5006
Ga 0.0000 0.0000 4.0349
Ga 0.0000 0.0000 0.0000
Ir 0.0000 1.6371 2.0175
Ir 1.4178 0.8186 6.0524
Ir 2.7620 3.1469 6.0524
Ir -1.3442 3.9654 2.0175
Ir 4.1063 0.8186 6.0524
Ir 1.3442 3.9654 2.0175
```

Computed properties:
DFT formation energy   -0.87 eV per atom
Polymorph energy (0 for the lowest one)   0.00 eV per formula unit

6.
The following is a PBE-GGA calculation of an optimized crystal structure of Tb2PmPr2Nd4, from the Alexandria database.

```
9
Lattice="-3.3046 0.0544 -1.6485 -2.1444 -4.6784 8.2815 -0.1280 9.7961 0.5800" Properties=species:S:1:pos:R:3 pbc="T T T"
Tb -4.3671 0.0175 4.6176
Tb -1.2099 5.1546 2.5955
Pm 0.0000 0.0000 0.0000
Pr -2.5333 -3.0870 4.9762
Pr -3.0437 8.2590 2.2368
Nd -4.1225 3.6341 4.2465
Nd -1.4545 1.5380 2.9665
Nd -1.8352 3.1403 -0.3549
Nd -3.7418 2.0317 7.5679
```

Computed properties:
DFT formation energy   0.01 eV per atom

7.
The following is a PBE-GGA calculation of an optimized crystal structure of HfZrHN2, from the Alexandria database.

```
5
Lattice="-3.4821 -2.3637 -0.2138 0.6217 -1.2031 3.1755 -2.2487 3.1645 1.6392" Properties=species:S:1:pos:R:3 pbc="T T T"
H 0.3108 -0.6016 1.5877
Hf -2.5545 -0.2012 2.3004
Zr 0.0000 0.0000 0.0000
N -1.1244 1.5822 0.8196
N -1.7410 -1.1818 -0.1069
```

8.
The following is a PBE-GGA calculation of an optimized crystal structure of YAl3Rh, from the Alexandria database.

```
10
Lattice="-1.2603 -5.3611 -1.1041 4.6213 -0.2274 -4.1701 1.0977 -1.4834 5.9487" Properties=species:S:1:pos:R:3 pbc="T T T"
Y 2.5021 -4.6664 -1.6250
Y 1.9566 -2.4056 2.2997
Al 2.8149 -5.3648 1.4036
Al 4.1125 -2.4458 0.0389
Al 1.6437 -1.7072 -0.7291
Al 0.3462 -4.6262 0.6356
Al 3.6386 -1.8052 -2.5293
Al 0.8201 -5.2667 3.2038
Rh 0.0000 0.0000 0.0000
Rh -0.6302 -2.6806 -0.5521
```

Computed properties:
DFT formation energy   -0.59 eV per atom

9.
The following is a PBE-GGA calculation of an optimized crystal structure of K2LiRh, from the Alexandria database.

```
4
Lattice="-7.4495 1.9187 6.4165 -7.3799 -1.4868 6.6086 1.9116 0.2248 3.2909" Properties=species:S:1:pos:R:3 pbc="T T T"
K 0.1093 0.2474 4.3442
K -4.6566 0.3057 7.1047
Li -3.2295 0.1642 4.0790
Rh -9.6884 0.4925 12.2370
```

Computed properties:
DFT formation energy   0.34 eV per atom

10.
The following is a PBE-GGA calculation of an optimized crystal structure of Li2HgBr, from the Alexandria database.

```
4
Lattice="-4.0457 3.0198 -2.7099 1.8001 -1.1918 -5.3075 -2.4106 -2.2182 4.7010" Properties=species:S:1:pos:R:3 pbc="T T T"
Br -3.7895 0.8578 -1.0088
Hg -0.8666 -1.2480 -2.3076
Li -2.1596 1.7580 -7.7104
Li -1.2088 0.9840 -4.3158
```

Computed properties:
E_form (uncorrected)   -0.65 eV/atom
Polymorph energy (0 for the lowest one)   0.47 eV per formula unit

11.
The following is a PBE-GGA calculation of an optimized crystal structure of BeFe4Ag, from the Alexandria database.

```
6
Lattice="1.9281 -3.0610 3.0248 -2.2076 -1.0339 4.0367 -1.9383 -4.2562 0.6043" Properties=species:S:1:pos:R:3 pbc="T T T"
Be 0.0000 0.0000 0.0000
Fe 0.1407 -4.6654 4.3908
Fe -1.8054 -5.2670 3.1724
Fe -1.9410 -3.6451 4.9001
Fe -0.8298 -3.1247 2.8683
Ag -1.6633 -6.2633 5.7493
```

Computed properties:
DFT formation energy   0.37 eV per atom

12.
The following is a PBE-GGA calculation of an optimized crystal structure of LiAc2Ru2, from the Alexandria database.

```
10
Lattice="-3.1185 0.1625 -4.7457 2.2527 -5.2482 1.7403 -7.0484 0.9487 4.6641" Properties=species:S:1:pos:R:3 pbc="T T T"
Li -4.5100 0.3803 -3.0157
Li -5.6569 0.7308 2.9341
Ac -1.8609 -1.2896 -1.1166
Ac -1.5156 -3.3745 1.9854
Ac -6.0533 -2.8474 2.7752
Ac -6.3985 -0.7625 -0.3268
Ru -3.9481 -3.2030 0.2132
Ru -2.5252 -1.2998 -4.0569
Ru -3.9661 -0.9340 1.4455
Ru -5.3890 -2.8372 5.7156
```

Computed properties:
DFT formation energy   0.02 eV per atom

13.
The following is a PBE-GGA calculation of an optimized crystal structure of Na13In2, from the Alexandria database.

```
15
Lattice="6.4924 -0.0788 0.4852 -0.9027 8.9430 0.2352 -0.0956 -4.1894 8.4369" Properties=species:S:1:pos:R:3 pbc="T T T"
Na 3.7650 1.6897 8.7219
Na 1.7291 2.9851 0.4354
Na 0.0000 0.0000 0.0000
Na 1.4734 -1.8903 5.1503
Na 4.0207 6.5651 4.0069
Na 0.3712 1.4152 6.5156
Na 5.1229 3.2596 2.6416
Na 1.7354 3.5977 3.9221
Na 3.7587 1.0771 5.2352
Na 2.1007 4.3754 7.1417
Na 3.3934 0.2995 2.0155
Na 4.8615 -1.6716 7.2854
Na 0.6326 6.3464 1.8719
In 5.1904 4.0769 5.9167
In 0.3037 0.5980 3.2406
```

Computed properties:
DFT formation energy   -0.02 eV per atom
Polymorph energy (0 for the lowest one)   0.00 eV per formula unit

14.
The following is a PBE-GGA calculation of an optimized crystal structure of Pm6DyEr3, from the Alexandria database.

```
20
Lattice="6.2902 0.0000 0.0000 0.0000 10.9538 -1.7043 0.0000 -4.1057 10.2973" Properties=species:S:1:pos:R:3 pbc="T T T"
Pm 0.2831 5.2193 5.2302
Pm 3.4282 3.9337 6.2548
Pm 2.2663 1.8548 8.8256
Pm 5.4113 8.1892 3.7775
Pm 2.5113 10.3721 -1.2407
Pm 4.0725 0.1050 6.9416
Pm 0.9274 6.7431 1.6514
Pm 5.6564 -3.5240 9.8337
Pm 2.2663 -1.3410 4.8155
Pm 5.4113 4.9934 -0.2326
Pm 0.2831 2.9145 2.3382
Pm 3.4282 1.6288 3.3628
Dy 0.7391 -1.1232 7.9205
Dy 3.8842 7.9714 0.6725
Er 2.9307 7.4010 5.7887
Er 6.0758 3.9912 8.5061
Er 0.4953 1.7081 5.6640
Er 3.6404 5.1400 2.9290
Er 6.0758 -0.5529 2.8043
Er 2.9307 2.8570 0.0869
```

Computed properties:
DFT formation energy   0.14 eV per atom
Polymorph energy (0 for the lowest one)   0.17 eV per formula unit

15.
The following is a PBE-GGA calculation of an optimized crystal structure of Pm4Al2CdAg, from the Alexandria database.

```
8
Lattice="-3.7054 1.7084 -3.3933 -4.4559 -2.7979 -0.6928 -6.5252 4.1099 5.0446" Properties=species:S:1:pos:R:3 pbc="T T T"
Pm -8.7469 3.1604 2.8428
Pm -9.6105 0.6142 -1.6459
Pm -5.0760 2.4062 2.6044
Pm -5.9396 -0.1400 -1.8843
Al -11.0365 2.2907 0.7553
Al -3.6500 0.7297 0.2032
Cd 0.0000 0.0000 0.0000
Ag -7.3432 1.5102 0.4792
```

Computed properties:
DFT formation energy   -0.32 eV per atom

16.
The following is a PBE-GGA calculation of an optimized crystal structure of NdThSe2, from the Alexandria database.

```
4
Lattice="-3.5383 0.6951 0.6259 -0.6758 -3.5929 0.1698 1.2872 0.0967 7.1698" Properties=species:S:1:pos:R:3 pbc="T T T"
Nd -1.4634 -1.4005 3.9827
Se 0.9719 0.0730 5.4132
Se 0.3154 0.0237 1.7566
Th -2.1071 -1.4489 0.3978
```

Computed properties:
E_form (uncorrected)   -1.52 eV/atom
Polymorph energy (0 for the lowest one)   0.64 eV per formula unit

17.
The following is a PBE-GGA calculation of an optimized crystal structure of CuRe2Te, from the Alexandria database.

```
4
Lattice="2.7617 -0.0199 0.0000 -1.0647 2.5482 0.0000 0.0000 0.0000 9.6250" Properties=species:S:1:pos:R:3 pbc="T T T"
Cu 0.8485 1.2642 7.2188
Re 0.0000 0.0000 9.3454
Re 0.0000 0.0000 5.0921
Te 0.8485 1.2642 2.4063
```

Computed properties:
E_form (uncorrected)   1.07 eV/atom

18.
The following is a PBE-GGA calculation of an optimized crystal structure of PuIn2Pb, from the Alexandria database.

```
4
Lattice="-0.4773 -1.0288 -3.7582 3.8818 0.2025 -0.5485 0.6166 -6.9088 1.8130" Properties=species:S:1:pos:R:3 pbc="T T T"
Pb 1.7022 -0.4132 -2.1534
In 0.4692 -5.2572 1.3796
In 0.1474 -1.6515 0.4334
Pu 2.0106 -3.8675 -1.2468
```

Computed properties:
DFT formation energy   -0.04 eV per atom
Polymorph energy (0 for the lowest one)   0.67 eV per formula unit

19.
The following is a PBE-GGA calculation of an optimized crystal structure of MnTcBiAs2, from the Alexandria database.

```
5
Lattice="-1.8330 -3.2702 -2.5724 0.2935 -3.0862 3.7142 -4.1516 1.2511 1.3677" Properties=species:S:1:pos:R:3 pbc="T T T"
As -2.0758 0.6256 0.6838
As -0.9165 -1.6351 -1.2862
Mn 0.0000 0.0000 0.0000
Bi -2.8455 -2.5526 1.2547
Tc 0.1468 -1.5431 1.8571
```

Computed properties:
DFT formation energy   0.67 eV per atom

20.
The following is a PBE-GGA calculation of an optimized crystal structure of InSn2Pd9, from the Alexandria database.

```
12
Lattice="4.0391 0.0000 0.0000 0.0000 4.0391 0.0000 0.0000 0.0000 12.1225" Properties=species:S:1:pos:R:3 pbc="T T T"
In 0.0000 0.0000 0.0000
Sn 0.0000 0.0000 4.0212
Sn 0.0000 0.0000 8.1013
Pd 2.0196 2.0196 0.0000
Pd 2.0196 2.0196 4.0592
Pd 2.0196 2.0196 8.0633
Pd 2.0196 0.0000 2.0380
Pd 2.0196 0.0000 6.0613
Pd 2.0196 0.0000 10.0845
Pd 0.0000 2.0196 2.0380
Pd 0.0000 2.0196 6.0613
Pd 0.0000 2.0196 10.0845
```

Computed properties:
DFT formation energy   -0.48 eV per atom

21.
The following is a PBE-GGA calculation of an optimized crystal structure of Na6Mn3Br14, from the Alexandria database.

```
23
Lattice="6.8614 0.0000 0.0000 0.0000 9.6016 -5.5435 0.0000 0.0000 11.0870" Properties=species:S:1:pos:R:3 pbc="T T T"
Na 2.1161 7.5867 -3.9501
Na 2.1161 9.2292 3.0018
Na 2.1161 2.3874 0.9483
Na 5.5719 5.1675 3.6730
Na 5.5719 3.8369 8.1822
Na 5.5719 0.5972 4.7752
Mn 6.1427 0.0000 0.0000
Mn 2.8157 3.2005 5.5435
Mn 2.2134 6.4011 0.0000
Br 0.3067 0.3708 2.2608
Br 0.3067 7.4583 4.7342
Br 0.3067 1.7725 9.6354
Br 3.8972 2.6714 3.3305
Br 3.8972 5.3816 6.1917
Br 3.8972 1.5486 7.1082
Br 3.6552 0.0000 0.0000
Br 0.3354 3.2005 5.5435
Br 3.6529 7.8156 -1.4265
Br 3.6529 6.9292 1.9382
Br 3.6529 4.4585 -0.5118
Br 0.7697 4.9395 1.3818
Br 0.7697 5.9351 -1.9567
Br 0.7697 8.3286 0.5748
```

Computed properties:
E_form (uncorrected)   -1.12 eV/atom

22.
The following is a PBE-GGA calculation of an optimized crystal structure of PuFeS, from the Alexandria database.

```
6
Lattice="4.1734 0.0284 0.0284 2.0760 3.0372 -0.2547 0.0256 -0.9756 8.4886" Properties=species:S:1:pos:R:3 pbc="T T T"
Pu 2.8970 1.3465 2.4289
Pu 5.9578 2.6893 0.5686
Fe 2.8601 -0.3339 4.8284
Fe 3.9089 1.6404 8.2138
S 0.7807 0.5051 4.2500
S 2.9046 -0.0098 7.0571
```

Computed properties:
E_form (uncorrected)   -0.34 eV/atom

23.
The following is a PBE-GGA calculation of an optimized crystal structure of Tl2CdI4, from the Alexandria database.

```
14
Lattice="-4.9609 6.3456 1.2922 -2.4711 -3.4087 7.2518 8.3778 2.1596 3.8699" Properties=species:S:1:pos:R:3 pbc="T T T"
I -1.5696 2.0553 5.2139
I 5.3297 -0.2142 8.9875
I -4.3840 5.3107 3.4265
I -0.3674 3.7136 1.6858
I -0.1460 6.3932 5.3794
I 1.3131 1.3829 10.7281
I 2.5153 3.0412 7.2001
I 1.0918 -1.2967 7.0346
Tl -4.9815 2.2137 6.6151
Tl 5.9273 2.8828 5.7988
Tl 1.7464 1.8396 3.8838
Tl -0.8006 3.2569 8.5301
Cd -1.5367 -0.4759 6.5247
Cd 2.4824 5.5724 5.8892
```

Computed properties:
E_form (uncorrected)   -0.62 eV/atom
Polymorph energy (0 for the lowest one)   0.00 eV per formula unit

Results for E_tot: -6.400; -5.286; -7.821; -4.247; -7.295; -4.731; -8.057; -5.598; -2.521; -2.103; -6.366; -5.721; -1.526; -4.535; -4.099; -6.309; -6.969; -5.916; -5.870; -5.273; -3.681; -9.317; -2.315 (in eV per atom, following the order of the records).